Record 1
First-principles (PBE-GGA) data for SrGa3CuAg after structural relaxation, as listed in the Alexandria database.

Unit cell a=6.3927 b=6.1481 c=7.1221 alpha=115.57 beta=90.00 gamma=90.00
Closest atoms and distances in Å follow each position.
Sites, in units of the cell vectors:
Sr  0.7500  0.2812  0.5624  1 Cu 2.93, 2 Ga 3.24
Sr  0.2500  0.7188  0.4376  1 Cu 2.93, 2 Ga 3.24
Ga  0.2500  0.1391  0.2783  1 Cu 2.47, 1 Ag 2.71
Ga  0.0000  0.2866  0.0000  2 Cu 2.47, 1 Ga 2.62
Ga  0.5000  0.7134  0.0000  2 Cu 2.47, 1 Ga 2.62
Ga  0.5000  0.2866  0.0000  2 Cu 2.47, 1 Ga 2.62
Ga  0.0000  0.7134  0.0000  2 Cu 2.47, 1 Ga 2.62
Ga  0.7500  0.8609  0.7217  1 Cu 2.47, 1 Ag 2.71
Cu  0.2500  0.9469  0.8937  5 Ga 2.47
Cu  0.7500  0.0531  0.1063  5 Ga 2.47
Ag  0.2500  0.3497  0.6994  5 Ga 2.71-2.83
Ag  0.7500  0.6503  0.3006  5 Ga 2.71-2.83

Summary:
The volume comes out at 253 Å³/cell. The energy of formation comes out at -0.938 eV/f.u. The space group is No. 63.

=====

Record 2
First-principles (PBE-GGA) data for SrZnSi2 after structural relaxation, as listed in the Alexandria database.

Unit cell a=6.9725 b=5.2548 c=3.2728 alpha=90.06 beta=61.90 gamma=121.12
Closest atoms and distances in Å follow each position.
Sites, in units of the cell vectors:
Si  0.0000  0.0000  0.0000  4 Si 3.08-3.27, 4 Sr 3.09-3.10, 4 Zn 3.09-3.10
Si  0.5000  0.0000  0.5000  4 Si 3.08-3.27, 4 Zn 3.09-3.10, 4 Sr 3.09-3.10
Sr  0.0000  0.5000  0.5000  2 Zn 3.08, 8 Si 3.09-3.10, 2 Sr 3.27
Zn  0.5000  0.5000  0.0000  2 Sr 3.08, 8 Si 3.09-3.10, 2 Zn 3.27

Summary:
As for the formation energy (no corrections): 0.282 eV per atom. The volume comes out at 86 Å³/cell. The space group is No. 65.

=====

Record 3
First-principles (PBE-GGA) data for Sm2ErPu after structural relaxation, as listed in the Alexandria database.

Unit cell a=4.9938 b=5.0074 c=5.0074 alpha=90.00 beta=90.00 gamma=90.00
Closest atoms and distances in Å follow each position.
Sites, in units of the cell vectors:
Er  0.5000  0.5000  0.5000  8 Sm 3.54, 4 Pu 3.54
Sm  0.0000  0.0000  0.5000  4 Er 3.54, 4 Pu 3.54, 4 Sm 3.54
Sm  0.0000  0.5000  0.0000  4 Er 3.54, 4 Pu 3.54, 4 Sm 3.54
Pu  0.5000  0.0000  0.0000  8 Sm 3.54, 4 Er 3.54

Summary:
The volume comes out at 125 Å³/cell. The offset from the most stable computed form is 0.15 eV/f.u. The energy of formation comes out at 0.582 eV/f.u. The space group is No. 123.

=====

Record 4
First-principles (PBE-GGA) data for SrTl2AgBr5 after structural relaxation, as listed in the Alexandria database.

Unit cell a=4.5259 b=10.0005 c=14.3450 alpha=90.00 beta=90.00 gamma=103.08
Closest atoms and distances in Å follow each position.
Sites, in units of the cell vectors:
Sr  0.7942  0.5884  0.5259  6 Br 3.04-3.09
Sr  0.2058  0.4116  0.0259  6 Br 3.04-3.09
Tl  0.8746  0.7492  0.8263  7 Br 3.34-3.63
Tl  0.0998  0.1996  0.6726  6 Br 3.36-3.61
Tl  0.1254  0.2508  0.3263  7 Br 3.34-3.63
Tl  0.9002  0.8004  0.1726  6 Br 3.36-3.61
Ag  0.5513  0.1026  0.9352  4 Br 2.64-2.90
Ag  0.4487  0.8974  0.4352  4 Br 2.64-2.90
Br  0.3613  0.7227  0.0053  1 Sr 3.04, 2 Tl 3.38
Br  0.6950  0.3900  0.8812  1 Ag 2.90, 2 Sr 3.08
Br  0.4936  0.9872  0.7684  1 Ag 2.64
Br  0.2853  0.5705  0.6700  2 Sr 3.07
Br  0.9527  0.9054  0.5390  2 Ag 2.71
Br  0.6387  0.2773  0.5053  1 Sr 3.04, 2 Tl 3.38
Br  0.3050  0.6100  0.3812  1 Ag 2.90, 2 Sr 3.08
Br  0.5064  0.0128  0.2684  1 Ag 2.64
Br  0.7147  0.4295  0.1700  2 Sr 3.07
Br  0.0473  0.0946  0.0390  2 Ag 2.71

Summary:
As for the formation energy (no corrections): -1.168 eV per atom. The volume comes out at 632 Å³/cell. The space group is No. 36.

=====

Record 5
First-principles (PBE-GGA) data for Pm3UIn3Se8 after structural relaxation, as listed in the Alexandria database.

Unit cell a=8.4536 b=8.4528 c=9.1595 alpha=117.49 beta=90.00 gamma=120.00
Closest atoms and distances in Å follow each position.
Sites, in units of the cell vectors:
Pm  0.5000  0.0000  0.5000  6 Se 2.95-2.96
Pm  0.5000  0.5000  0.5000  6 Se 2.95-2.96
Pm  0.0000  0.5000  0.5000  6 Se 2.95-2.96
U  0.0000  0.0000  0.5000  6 Se 2.85
In  0.0000  0.0000  0.0000  6 Se 3.30
In  0.0000  0.5000  0.0000  6 Se 3.30
In  0.5000  0.5000  0.0000  6 Se 3.30
Se  0.2620  0.5240  0.2861  3 Pm 2.95, 3 In 3.30
Se  0.7380  0.4760  0.7139  3 Pm 2.95, 3 In 3.30
Se  0.7702  0.5405  0.2924  1 U 2.85, 2 Pm 2.96
Se  0.2298  0.4595  0.7076  1 U 2.85, 2 Pm 2.96
Se  0.7702  0.0220  0.2924  1 U 2.85, 2 Pm 2.96
Se  0.2298  0.9780  0.7076  1 U 2.85, 2 Pm 2.96
Se  0.2518  0.0220  0.2924  1 U 2.85, 2 Pm 2.96
Se  0.7482  0.9780  0.7076  1 U 2.85, 2 Pm 2.96

Summary:
As for the formation energy (no corrections): -1.262 eV per atom. The volume comes out at 480 Å³/cell. The space group is No. 166.

=====

Record 6
First-principles (PBE-GGA) data for Pm3HoGa4 after structural relaxation, as listed in the Alexandria database.

Unit cell a=3.6373 b=3.6373 c=14.5872 alpha=90.00 beta=90.00 gamma=90.00
Closest atoms and distances in Å follow each position.
Sites, in units of the cell vectors:
Ho  0.5000  0.5000  0.0000  8 Ga 3.08
Ga  0.0000  0.0000  0.8843  4 Ho 3.08, 4 Pm 3.19, 1 Ga 3.37
Ga  0.0000  0.0000  0.1157  4 Ho 3.08, 4 Pm 3.19, 1 Ga 3.37
Ga  0.0000  0.0000  0.3725  8 Pm 3.17
Ga  0.0000  0.0000  0.6275  8 Pm 3.17
Pm  0.5000  0.5000  0.2453  8 Ga 3.17-3.19
Pm  0.5000  0.5000  0.5000  8 Ga 3.17
Pm  0.5000  0.5000  0.7547  8 Ga 3.17-3.19

Summary:
The volume comes out at 193 Å³/cell. The energy of formation comes out at -4.607 eV/f.u. The space group is No. 123.

=====

Record 7
First-principles (PBE-GGA) data for Sc3Ga4Pd2 after structural relaxation, as listed in the Alexandria database.

Unit cell a=4.4090 b=5.3884 c=8.3067 alpha=115.38 beta=90.00 gamma=114.15
Closest atoms and distances in Å follow each position.
Sites, in units of the cell vectors:
Sc  0.6617  0.3234  0.6715  8 Ga 2.84-3.12, 4 Pd 2.91-3.08, 2 Sc 3.12-3.16
Sc  0.0000  0.0000  0.0000  8 Ga 2.85-3.14, 4 Pd 3.00, 2 Sc 3.16
Sc  0.3383  0.6766  0.3285  8 Ga 2.84-3.12, 4 Pd 2.91-3.08, 2 Sc 3.12-3.16
Ga  0.6946  0.3892  0.0296  1 Pd 2.54, 2 Ga 2.61, 1 Sc 2.84
Ga  0.3054  0.6108  0.9704  1 Pd 2.54, 2 Ga 2.61, 1 Sc 2.84
Ga  0.9162  0.8324  0.5851  2 Pd 2.56, 1 Ga 2.63
Ga  0.0838  0.1676  0.4149  2 Pd 2.56, 1 Ga 2.63
Pd  0.6110  0.2221  0.2767  3 Ga 2.54-2.56
Pd  0.3890  0.7779  0.7233  3 Ga 2.54-2.56

Summary:
The volume comes out at 159 Å³/cell. The energy of formation comes out at -6.869 eV/f.u. The space group is No. 12.

=====

Record 8
First-principles (PBE-GGA) data for TlCoMo3 after structural relaxation, as listed in the Alexandria database.

Unit cell a=4.5142 b=4.5142 c=4.5142 alpha=90.00 beta=90.00 gamma=90.00
Closest atoms and distances in Å follow each position.
Sites, in units of the cell vectors:
Tl  0.5000  0.5000  0.5000  12 Mo 3.19
Co  0.0000  0.0000  0.0000  6 Mo 2.26
Mo  0.0000  0.5000  0.0000  2 Co 2.26
Mo  0.0000  0.0000  0.5000  2 Co 2.26
Mo  0.5000  0.0000  0.0000  2 Co 2.26

Summary:
The volume comes out at 92 Å³/cell. The offset from the most stable computed form is 0.00 eV/f.u. The energy of formation comes out at 5.684 eV/f.u. The space group is No. 221.

=====

Record 9
First-principles (PBE-GGA) data for YErMgGa after structural relaxation, as listed in the Alexandria database.

Unit cell a=5.1453 b=5.1453 c=5.1453 alpha=60.00 beta=60.00 gamma=60.00
Closest atoms and distances in Å follow each position.
Sites, in units of the cell vectors:
Y  0.7500  0.7500  0.7500  4 Mg 3.15, 4 Ga 3.15
Mg  0.5000  0.5000  0.5000  4 Y 3.15, 4 Er 3.15
Ga  0.0000  0.0000  0.0000  4 Er 3.15, 4 Y 3.15
Er  0.2500  0.2500  0.2500  4 Mg 3.15, 4 Ga 3.15

Summary:
The volume comes out at 96 Å³/cell. The energy of formation comes out at -1.390 eV/f.u. The space group is No. 216.

=====

Record 10
First-principles (PBE-GGA) data for ThSnBr6 after structural relaxation, as listed in the Alexandria database.

Unit cell a=8.0567 b=8.0567 c=10.8897 alpha=99.12 beta=99.12 gamma=65.08
Closest atoms and distances in Å follow each position.
Sites, in units of the cell vectors:
Th  0.0000  0.5000  0.5000  6 Br 2.79-2.93
Th  0.5000  0.0000  0.0000  6 Br 2.79-2.93
Sn  0.0291  0.9709  0.2500  4 Br 2.89-3.02
Sn  0.9709  0.0291  0.7500  4 Br 2.89-3.02
Br  0.2068  0.6446  0.3814  1 Sn 2.89, 1 Th 2.93
Br  0.7932  0.3554  0.6186  1 Sn 2.89, 1 Th 2.93
Br  0.3554  0.7932  0.1186  1 Sn 2.89, 1 Th 2.93
Br  0.6446  0.2068  0.8814  1 Sn 2.89, 1 Th 2.93
Br  0.8343  0.4353  0.2634  1 Th 2.79
Br  0.1657  0.5647  0.7366  1 Th 2.79
Br  0.5647  0.1657  0.2366  1 Th 2.79
Br  0.4353  0.8343  0.7634  1 Th 2.79
Br  0.1174  0.2420  0.9590  1 Th 2.88, 1 Sn 3.02
Br  0.8826  0.7580  0.0410  1 Th 2.88, 1 Sn 3.02
Br  0.7580  0.8826  0.5410  1 Th 2.88, 1 Sn 3.02
Br  0.2420  0.1174  0.4590  1 Th 2.88, 1 Sn 3.02

Summary:
As for the formation energy (no corrections): -1.320 eV per atom. The volume comes out at 630 Å³/cell. The space group is No. 15.

=====

Record 11
First-principles (PBE-GGA) data for Li2Ni after structural relaxation, as listed in the Alexandria database.

Unit cell a=12.7418 b=12.7418 c=12.7418 alpha=168.51 beta=168.51 gamma=16.28
Closest atoms and distances in Å follow each position.
Sites, in units of the cell vectors:
Li  0.5720  0.5720  0.0000  4 Li 2.55, 4 Ni 2.56
Li  0.1780  0.6780  0.5000  4 Li 2.55, 4 Ni 2.56
Li  0.4280  0.4280  0.0000  4 Li 2.55, 4 Ni 2.56
Li  0.3220  0.8220  0.5000  4 Li 2.55, 4 Ni 2.56
Ni  0.0000  0.0000  0.0000  4 Ni 2.55, 8 Li 2.56
Ni  0.7500  0.2500  0.5000  4 Ni 2.55, 8 Li 2.56

Summary:
The volume comes out at 82 Å³/cell. The energy of formation comes out at 0.174 eV/f.u. The space group is No. 141.

=====

Record 12
First-principles (PBE-GGA) data for Sr2SnGeO after structural relaxation, as listed in the Alexandria database.

Unit cell a=5.0731 b=5.0731 c=4.7595 alpha=90.00 beta=90.00 gamma=90.00
Closest atoms and distances in Å follow each position.
Sites, in units of the cell vectors:
Sr  0.0000  0.5000  0.0000  2 O 2.54
Sr  0.5000  0.0000  0.0000  2 O 2.54
Ge  0.0000  0.0000  0.5000  2 O 2.38
Sn  0.5000  0.5000  0.5000  8 Sr 3.48, 4 Ge 3.59
O  0.0000  0.0000  0.0000  2 Ge 2.38, 4 Sr 2.54

Summary:
As for the formation energy (no corrections): -1.100 eV per atom. The volume comes out at 122 Å³/cell. The space group is No. 123.

=====

We obtain DOS(E_F) values of 3.2 1.8 16.2 0.0 5.9 3.4 4.8 8.8 2.3 0.0 4.0 0.9 states/eV/cell for the records listed above, in that order.